1.
# LiGe2As2

A relaxed structure of LiGe2As2 (PBE-GGA, Alexandria via LeMat-Bulk).

Computed properties:
The value obtained for the energy relative to the elements is 74 meV per atom. The value obtained for the total energy is -4.016 eV per atom.

a = 7.0317 Å, b = 7.0317 Å, c = 5.6172 Å
α = 110.63°, β = 110.63°, γ = 101.87°
With the nearest neighbours (Å) after each atom.
Fractional positions:
Li: 0.2092 0.7908 0.0000  4 As 2.86-2.91
Li: 0.7908 0.2092 0.0000  4 As 2.86-2.91
Ge: 0.3064 0.3064 0.7819  3 As 2.54-2.73
Ge: 0.3639 0.6361 0.5000  3 As 2.44-2.54
Ge: 0.6361 0.3639 0.5000  3 As 2.44-2.54
Ge: 0.6936 0.6936 0.2181  3 As 2.54-2.73
As: 0.1409 0.8591 0.5000  1 Ge 2.44
As: 0.2318 0.2318 0.1578  3 Ge 2.54
As: 0.7682 0.7682 0.8422  3 Ge 2.54
As: 0.8591 0.1409 0.5000  1 Ge 2.44

=====

2.
# La2SnGe

A relaxed structure of La2SnGe (PBE-GGA, Alexandria via LeMat-Bulk).

Computed properties:
The value obtained for the energy relative to the elements is -719 meV per atom. The value obtained for the total energy is -5.338 eV per atom.

a = 3.5370 Å, b = 3.5370 Å, c = 8.9278 Å
α = 90.00°, β = 90.00°, γ = 90.00°
With the nearest neighbours (Å) after each atom.
Fractional positions:
La: 0.0000 0.0000 0.2286  4 Ge 3.23, 4 Sn 3.48, 4 La 3.54
La: 0.0000 0.0000 0.7714  4 Ge 3.23, 4 Sn 3.48, 4 La 3.54
Sn: 0.5000 0.5000 0.5000  8 La 3.48, 4 Sn 3.54
Ge: 0.5000 0.5000 0.0000  8 La 3.23, 4 Ge 3.54

=====

3.
# Tm8Al2Hg

A relaxed structure of Tm8Al2Hg (PBE-GGA, Alexandria via LeMat-Bulk).

Computed properties:
The value obtained for the energy relative to the elements is -187 meV per atom. The value obtained for the total energy is -4.147 eV per atom.

a = 9.2351 Å, b = 9.2351 Å, c = 6.9190 Å
α = 103.75°, β = 103.75°, γ = 31.45°
With the nearest neighbours (Å) after each atom.
Fractional positions:
Tm: 0.0235 0.0235 0.2582  1 Al 3.04, 2 Hg 3.10, 2 Tm 3.39
Tm: 0.2014 0.2014 0.7967  3 Al 3.00-3.18, 1 Tm 3.31
Tm: 0.3370 0.3370 0.5436  3 Al 2.98-3.08, 1 Hg 2.99, 2 Tm 3.31
Tm: 0.4047 0.4047 0.0349  1 Hg 3.25, 2 Al 3.29, 7 Tm 3.31-3.58
Tm: 0.5953 0.5953 0.9651  1 Hg 3.25, 2 Al 3.29, 7 Tm 3.31-3.58
Tm: 0.6630 0.6630 0.4564  3 Al 2.98-3.08, 1 Hg 2.99, 2 Tm 3.31
Tm: 0.7986 0.7986 0.2033  3 Al 3.00-3.18, 1 Tm 3.31
Tm: 0.9765 0.9765 0.7418  1 Al 3.04, 2 Hg 3.10, 2 Tm 3.39
Al: 0.1904 0.1904 0.2232  9 Tm 2.98-3.29
Al: 0.8096 0.8096 0.7768  9 Tm 2.98-3.29
Hg: 0.5000 0.5000 0.5000  8 Tm 2.99-3.25

=====

4.
# PmDyGaRu

A relaxed structure of PmDyGaRu (PBE-GGA, Alexandria via LeMat-Bulk).

Computed properties:
The value obtained for the energy relative to the elements is -388 meV per atom. The value obtained for the total energy is -5.802 eV per atom.

a = 5.0007 Å, b = 5.0007 Å, c = 5.0007 Å
α = 60.00°, β = 60.00°, γ = 60.00°
With the nearest neighbours (Å) after each atom.
Fractional positions:
Pm: 0.0000 0.0000 0.0000  4 Ru 3.06, 4 Ga 3.06
Dy: 0.5000 0.5000 0.5000  4 Ga 3.06, 4 Ru 3.06
Ga: 0.7500 0.7500 0.7500  4 Dy 3.06, 4 Pm 3.06
Ru: 0.2500 0.2500 0.2500  4 Dy 3.06, 4 Pm 3.06

=====

5.
# TiTePd3

A relaxed structure of TiTePd3 (PBE-GGA, Alexandria via LeMat-Bulk).

Computed properties:
As for the uncorrected formation energy: -0.305 eV/atom. The value obtained for the total energy is -5.628 eV per atom.

a = 3.0985 Å, b = 7.9803 Å, c = 7.7522 Å
α = 90.00°, β = 90.00°, γ = 90.00°
With the nearest neighbours (Å) after each atom.
Fractional positions:
Ti: 0.2500 0.2500 0.0316  8 Pd 2.56-2.66
Ti: 0.7500 0.7500 0.9684  8 Pd 2.56-2.66
Te: 0.2500 0.2500 0.6101  6 Pd 2.87-2.89, 2 Te 3.10
Te: 0.7500 0.7500 0.3899  6 Pd 2.87-2.89, 2 Te 3.10
Pd: 0.2500 0.5494 0.1568  3 Ti 2.58-2.66, 2 Te 2.87
Pd: 0.2500 0.7500 0.7054  2 Ti 2.56
Pd: 0.2500 0.9506 0.1568  3 Ti 2.58-2.66, 2 Te 2.87
Pd: 0.7500 0.0494 0.8432  3 Ti 2.58-2.66, 2 Te 2.87
Pd: 0.7500 0.2500 0.2946  2 Ti 2.56
Pd: 0.7500 0.4506 0.8432  3 Ti 2.58-2.66, 2 Te 2.87

=====

6.
# Li2Tb2NdGe2

A relaxed structure of Li2Tb2NdGe2 (PBE-GGA, Alexandria via LeMat-Bulk).

Computed properties:
The value obtained for the energy relative to the elements is -490 meV per atom. The value obtained for the total energy is -4.360 eV per atom.

a = 9.4297 Å, b = 9.4297 Å, c = 9.4297 Å
α = 27.71°, β = 27.71°, γ = 27.71°
With the nearest neighbours (Å) after each atom.
Fractional positions:
Li: 0.0957 0.0957 0.0957  3 Ge 2.61
Li: 0.9043 0.9043 0.9043  3 Ge 2.61
Tb: 0.3721 0.3721 0.3721  3 Ge 3.01, 3 Li 3.03, 3 Tb 3.35
Tb: 0.6279 0.6279 0.6279  3 Ge 3.01, 3 Li 3.03, 3 Tb 3.35
Nd: 0.5000 0.5000 0.5000  6 Li 3.24, 6 Ge 3.27, 2 Tb 3.48
Ge: 0.2394 0.2394 0.2394  3 Li 2.61
Ge: 0.7606 0.7606 0.7606  3 Li 2.61